1.
Computed, not measured: crystalline NaCaNb2H at its relaxed geometry at the PBE level of DFT.

Cell: 5.872 5.872 3.551 Å, 90.00 90.00 90.00°
Space group P4/mmm (No. 123)
One atom of each set of equivalent atoms:
Na (0.000, 0.000, 0.000)
Ca (0.500, 0.500, 0.500)
Nb (0.000, 0.500, 0.500)
H (0.500, 0.500, 0.000)

- N(E_F) (states/eV per cell) = 6.62
- total DFT energy (no corrections) (eV per atom) = -3.56

***

2.
Computed, not measured: crystalline NiSn2Se2 at its relaxed geometry at the PBE level of DFT.

Cell: 7.267 7.267 4.342 Å, 90.00 90.00 90.00°
Space group P4/mbm (No. 127)
One atom of each set of equivalent atoms:
Ni (0.000, 0.000, 0.000)
Sn (0.160, 0.340, 0.000)
Se (0.171, 0.671, 0.500)

- energy relative to the elements, uncorrected (eV/atom) = 0.176
- N(E_F) (states/eV per cell) = 7.97
- total DFT energy (no corrections) (eV per atom) = -3.98

***

3.
Computed, not measured: crystalline La2TlCd3 at its relaxed geometry at the PBE level of DFT.

Cell: 7.314 10.252 17.776 Å, 90.00 90.00 90.00°
Space group Fmmm (No. 69)
One atom of each set of equivalent atoms:
La (0.247, 0.000, 0.000)
La (0.250, 0.250, 0.250)
Tl (0.000, 0.000, 0.334)
Cd (0.000, 0.000, 0.165)
Cd (0.000, 0.248, 0.082)

- N(E_F) (states/eV per cell) = 41.44
- ΔH_f (0 K) (eV/f.u.) = -2.232
- total DFT energy (no corrections) (eV per atom) = -2.87

***

4.
Computed, not measured: crystalline Li3LaPd at its relaxed geometry at the PBE level of DFT.

Cell: 5.185 5.185 5.185 Å, 90.00 90.00 90.00°
Space group Pm-3m (No. 221)
One atom of each set of equivalent atoms:
Li (0.000, 0.000, 0.500)
La (0.000, 0.000, 0.000)
Pd (0.500, 0.500, 0.500)

- relative energy among the computed polymorphs (meV per atom) = 1530.3
- N(E_F) (states/eV per cell) = 9.05
- ΔH_f (0 K) (eV/f.u.) = 6.514
- total DFT energy (no corrections) (eV per atom) = -1.87

***

Question: Number 3 is which compound?
Answer: La2TlCd3